GeRhNO2, relaxed, DFT GGA-PBE; uncorrected formation energy = 0.257 eV per atom
1.0
3.6783 0.0000 0.0000
0.0000 3.6783 0.0000
0.0000 0.0000 3.9175
Ge Rh N O
1 1 1 2
Direct
0.0000 0.0000 0.0000
0.5000 0.5000 0.5000
0.0000 0.0000 0.5000
0.0000 0.5000 0.0000
0.5000 0.0000 0.0000